Entry 1:
Density functional theory data (PBE) for a relaxed PrDy6Ho3Er2 crystal.

Cell lengths 6.1345, 6.1345, 11.7549 Å; angles 94.97, 94.97, 119.95 degrees
Sites, in units of the cell vectors:
Pr: 0.0000 0.0000 0.0000
Dy: 0.9157 0.5814 0.7483
Dy: 0.7499 0.7499 0.2516
Dy: 0.0843 0.4186 0.2517
Dy: 0.5814 0.9157 0.7483
Dy: 0.2501 0.2501 0.7484
Dy: 0.4186 0.0843 0.2517
Ho: 0.1670 0.8330 0.5000
Ho: 0.8330 0.1670 0.5000
Ho: 0.5000 0.5000 0.5000
Er: 0.3333 0.6667 0.0000
Er: 0.6667 0.3333 0.0000

Summary:
The value obtained for the total energy is -4.586 eV per atom.

=====

Entry 2:
Density functional theory data (PBE) for a relaxed CaSc2BeBi crystal.

Cell lengths 5.4538, 5.8405, 5.4538 Å; angles 90.00, 90.00, 90.00 degrees
Sites, in units of the cell vectors:
Sc: 0.0000 0.0000 0.5000
Sc: 0.5000 0.0000 0.0000
Be: 0.5000 0.5000 0.5000
Ca: 0.0000 0.5000 0.0000
Bi: 0.0000 0.0000 0.0000

Summary:
The value obtained for the total energy is -3.729 eV per atom.

=====

Entry 3:
Density functional theory data (PBE) for a relaxed MgCdP crystal.

Cell lengths 4.1066, 6.8167, 9.1002 Å; angles 90.00, 90.00, 90.00 degrees
Sites, in units of the cell vectors:
Cd: 0.7500 0.1033 0.0933
Cd: 0.2500 0.6033 0.4067
Cd: 0.2500 0.8967 0.9067
Cd: 0.7500 0.3967 0.5933
P: 0.7500 0.8678 0.3347
P: 0.2500 0.3678 0.1653
P: 0.2500 0.1322 0.6653
P: 0.7500 0.6322 0.8347
Mg: 0.7500 0.6048 0.1240
Mg: 0.2500 0.1048 0.3760
Mg: 0.2500 0.3952 0.8760
Mg: 0.7500 0.8952 0.6240

Summary:
The value obtained for the total energy is -2.929 eV per atom.

=====

Entry 4:
Density functional theory data (PBE) for a relaxed Nd12Sm7Dy crystal.

Cell lengths 8.9033, 8.9033, 8.9033 Å; angles 87.77, 87.77, 87.77 degrees
Sites, in units of the cell vectors:
Nd: 0.8542 0.2568 0.7253
Nd: 0.7432 0.2747 0.1458
Nd: 0.6153 0.1374 0.4911
Nd: 0.8626 0.5089 0.3847
Nd: 0.2747 0.1458 0.7432
Nd: 0.5089 0.3847 0.8626
Nd: 0.4911 0.6153 0.1374
Nd: 0.7253 0.8542 0.2568
Nd: 0.1374 0.4911 0.6153
Nd: 0.3847 0.8626 0.5089
Nd: 0.2568 0.7253 0.8542
Nd: 0.1458 0.7432 0.2747
Sm: 0.8516 0.6088 0.9285
Sm: 0.3912 0.0715 0.1484
Sm: 0.0715 0.1484 0.3912
Sm: 0.5000 0.5000 0.5000
Sm: 0.9285 0.8516 0.6088
Sm: 0.6088 0.9285 0.8516
Sm: 0.1484 0.3912 0.0715
Dy: 0.0000 0.0000 0.0000

Summary:
The value obtained for the total energy is -4.521 eV per atom.

=====

Entry 5:
Density functional theory data (PBE) for a relaxed In2AgSb crystal.

Cell lengths 6.5947, 6.5947, 6.5947 Å; angles 152.59, 130.06, 57.91 degrees
Sites, in units of the cell vectors:
Sb: 0.7500 0.2500 0.5000
Ag: 0.2500 0.7500 0.5000
In: 0.0183 0.0183 0.0000
In: 0.4817 0.4817 0.0000

Summary:
For the uncorrected formation energy, the calculation gives 0.5 eV per formula unit.

=====

Entry 6:
Density functional theory data (PBE) for a relaxed In4HgPb5 crystal.

Cell lengths 3.9700, 3.9700, 18.5387 Å; angles 90.00, 90.00, 90.00 degrees
Sites, in units of the cell vectors:
In: 0.0000 0.0000 0.1983
In: 0.0000 0.0000 0.3974
In: 0.0000 0.0000 0.6026
In: 0.0000 0.0000 0.8017
Hg: 0.0000 0.0000 0.0000
Pb: 0.5000 0.5000 0.0984
Pb: 0.5000 0.5000 0.2977
Pb: 0.5000 0.5000 0.5000
Pb: 0.5000 0.5000 0.7023
Pb: 0.5000 0.5000 0.9016

Summary:
The value obtained for the total energy is -2.944 eV per atom.

=====

Entry 7:
Density functional theory data (PBE) for a relaxed Ca2AuBr crystal.

Cell lengths 7.0775, 7.0775, 7.0775 Å; angles 145.02, 145.02, 50.31 degrees
Sites, in units of the cell vectors:
Ca: 0.0000 0.0000 0.0000
Ca: 0.2500 0.7500 0.5000
Au: 0.5000 0.5000 0.0000
Br: 0.7500 0.2500 0.5000

Summary:
For the uncorrected formation energy, the calculation gives -3.4 eV per formula unit.

=====

Entry 8:
Density functional theory data (PBE) for a relaxed TlTe2Ir crystal.

Cell lengths 8.0669, 8.0669, 6.7808 Å; angles 53.50, 53.50, 90.00 degrees
Sites, in units of the cell vectors:
Tl: 0.0000 0.0000 0.0000
Tl: 0.7500 0.2500 0.5000
Ir: 0.5000 0.5000 0.0000
Ir: 0.2500 0.7500 0.5000
Te: 0.5346 0.1250 0.2500
Te: 0.2154 0.6250 0.2500
Te: 0.3750 0.4654 0.7500
Te: 0.8750 0.7846 0.7500

Summary:
For the uncorrected formation energy, the calculation gives -0.1 eV per formula unit.

=====

Entry 9:
Density functional theory data (PBE) for a relaxed Hf2SnRu crystal.

Cell lengths 3.1371, 3.1371, 8.0734 Å; angles 90.00, 90.00, 90.00 degrees
Sites, in units of the cell vectors:
Ru: 0.5000 0.5000 0.0000
Hf: 0.0000 0.0000 0.7914
Hf: 0.0000 0.0000 0.2086
Sn: 0.5000 0.5000 0.5000

Summary:
The value obtained for the total energy is -8.737 eV per atom.

=====

Entry 10:
Density functional theory data (PBE) for a relaxed Dy3Tm2PuS6 crystal.

Cell lengths 3.8737, 7.8124, 8.7024 Å; angles 102.96, 102.86, 90.00 degrees
Sites, in units of the cell vectors:
Dy: 0.5000 0.5000 0.0000
Dy: 0.8356 0.1643 0.6712
Dy: 0.1644 0.8357 0.3288
Tm: 0.8362 0.6720 0.6723
Tm: 0.1638 0.3280 0.3277
Pu: 0.5000 0.0000 0.0000
S: 0.3311 0.9112 0.6621
S: 0.6692 0.5799 0.3385
S: 0.6689 0.0888 0.3379
S: 0.0014 0.2536 0.0027
S: 0.9986 0.7464 0.9973
S: 0.3308 0.4201 0.6615

Summary:
For the uncorrected formation energy, the calculation gives -23.5 eV per formula unit.

=====

Entry 11:
Density functional theory data (PBE) for a relaxed TbBeZn3 crystal.

Cell lengths 4.3960, 4.3960, 4.3960 Å; angles 90.00, 90.00, 90.00 degrees
Sites, in units of the cell vectors:
Be: 0.0000 0.0000 0.0000
Zn: 0.0000 0.5000 0.0000
Zn: 0.0000 0.0000 0.5000
Zn: 0.5000 0.0000 0.0000
Tb: 0.5000 0.5000 0.5000

Summary:
The value obtained for the total energy is -2.515 eV per atom.

=====

Entry 12:
Density functional theory data (PBE) for a relaxed LaPr2Nd2Er2 crystal.

Cell lengths 3.5529, 9.3514, 8.6809 Å; angles 119.10, 90.00, 100.95 degrees
Sites, in units of the cell vectors:
La: 0.0000 0.0000 0.5000
Pr: 0.6481 0.2961 0.9089
Pr: 0.3519 0.7039 0.0911
Nd: 0.4294 0.8587 0.7634
Nd: 0.5706 0.1413 0.2366
Er: 0.7864 0.5728 0.3737
Er: 0.2136 0.4272 0.6263

Summary:
The value obtained for the total energy is -4.603 eV per atom.